(1)
Computed, not measured: a relaxed structure of HfNi2Pt5 at the PBE level of DFT.

As for the crystal system: tetragonal. The formation energy is -0.368 eV/atom.

The structure belongs to space group I4/mcm (No. 140); the cell edges are 6.743, 6.743 and 10.837 Å and the angles 90.00°, 90.00° and 90.00°. The inequivalent atoms are Hf at (0.000, 0.000, 0.250), Ni at (0.145, 0.355, 0.000), Pt at (0.000, 0.000, 0.000) and Pt at (0.148, 0.352, 0.342).

---

(2)
Computed, not measured: a relaxed structure of HfNi3Pt at the PBE level of DFT.

As for the crystal system: orthorhombic. The formation energy is -0.361 eV/atom.

The structure belongs to space group Pmmn (No. 59, origin choice 2); the cell edges are 4.086, 5.394 and 6.364 Å and the angles 90.00°, 90.00° and 90.00°. The inequivalent atoms are Hf at (0.250, 0.250, 0.233), Ni at (0.250, 0.040, 0.773), Ni at (0.250, 0.750, 0.060) and Pt at (0.250, 0.750, 0.446).

---

(3)
Computed, not measured: a relaxed structure of Hf4NiPt at the PBE level of DFT.

As for the crystal system: tetragonal. The formation energy is -0.562 eV/atom.

The structure belongs to space group I422 (No. 97); the cell edges are 6.558, 6.558 and 5.297 Å and the angles 90.00°, 90.00° and 90.00°. The inequivalent atoms are Hf at (0.161, 0.339, 0.250), Ni at (0.000, 0.000, 0.500) and Pt at (0.000, 0.000, 0.000).

---

(4)
Computed, not measured: a relaxed structure of HfNiPt2Rh at the PBE level of DFT.

As for the crystal system: tetragonal. The formation energy is 1.036 eV/atom.

The structure belongs to space group P4/mmm (No. 123); the cell edges are 4.902, 4.902 and 4.689 Å and the angles 90.00°, 90.00° and 90.00°. The inequivalent atoms are Hf at (0.000, 0.000, 0.000), Ni at (0.500, 0.500, 0.500), Pt at (0.000, 0.500, 0.000) and Rh at (0.000, 0.000, 0.500).

---

(5)
Computed, not measured: a relaxed structure of HfNiPtRh at the PBE level of DFT.

As for the crystal system: orthorhombic. The formation energy is -0.856 eV/atom.

The structure belongs to space group Pmmm (No. 47); the cell edges are 3.833, 3.890 and 4.023 Å and the angles 90.00°, 90.00° and 90.00°. The inequivalent atoms are Hf at (0.000, 0.000, 0.000), Ni at (0.000, 0.500, 0.500), Pt at (0.500, 0.000, 0.500) and Rh at (0.500, 0.500, 0.000).

---

(6)
Computed, not measured: a relaxed structure of HfScNiPt at the PBE level of DFT.

As for the crystal system: cubic. The formation energy is -0.801 eV/atom.

The structure belongs to space group F-43m (No. 216); the cell edges are 6.505, 6.505 and 6.505 Å and the angles 90.00°, 90.00° and 90.00°. The inequivalent atoms are Hf at (0.000, 0.000, 0.000), Sc at (0.000, 0.000, 0.500), Ni at (0.250, 0.250, 0.750) and Pt at (0.250, 0.250, 0.250).

---

(7)
Computed, not measured: a relaxed structure of HfNiPt2Se at the PBE level of DFT.

As for the crystal system: tetragonal.

The structure belongs to space group P4/mmm (No. 123); the cell edges are 4.642, 4.642 and 4.861 Å and the angles 90.00°, 90.00° and 90.00°. The inequivalent atoms are Hf at (0.000, 0.000, 0.000), Ni at (0.500, 0.500, 0.000), Pt at (0.000, 0.500, 0.500) and Se at (0.000, 0.000, 0.500).

---

(8)
Computed, not measured: a relaxed structure of Hf2Ni7Sn2Pt at the PBE level of DFT.

As for the crystal system: monoclinic. The formation energy is -0.133 eV/atom.

The structure belongs to space group C2/m (No. 12); the cell edges are 4.925, 4.925 and 15.555 Å and the angles 90.00°, 99.02° and 90.00°. The inequivalent atoms are Hf at (0.123, 0.000, 0.250), Ni at (0.000, 0.000, 0.000), Ni at (0.187, 0.250, 0.873), Ni at (0.223, 0.000, 0.451), Sn at (0.188, 0.500, 0.381) and Pt at (0.000, 0.500, 0.000).

---

Total DFT energy (no corrections) values, unit eV per cell, following the record order: -218.66, -70.29, -110.01, -29.99, -32.55, -125.24, -28.29, -152.04.